Crystalline LiPuScS3 at its relaxed geometry. Source: Alexandria via LeMat-Bulk, functional PBE.

Calculated values
**Formation energy from raw total energies**: -959 kJ/mol of formula units
**VASP energy**: -7.483 eV per atom
**Density of states at the Fermi level**: 21.13 states/eV per cell

Lattice parameters (Å, degrees): 7.7504 3.7708 8.2679 90.00 104.25 90.00
With the nearest neighbours (Å) after each atom.
Atoms (fractional coordinates):
Li 0.0908 0.2500 0.0846  4 S 2.31-2.41, 2 Li 2.55
Li 0.9092 0.7500 0.9154  4 S 2.31-2.41, 2 Li 2.55
Pu 0.1878 0.2500 0.7234  7 S 2.83-2.97
Pu 0.8122 0.7500 0.2766  7 S 2.83-2.97
Sc 0.3327 0.7500 0.3399  6 S 2.60-2.67
Sc 0.6673 0.2500 0.6601  6 S 2.60-2.67
S 0.1038 0.2500 0.3672  1 Li 2.31
S 0.2298 0.7500 0.0073  3 Li 2.34-2.41
S 0.4377 0.7500 0.6644  3 Sc 2.60, 2 Pu 2.83
S 0.5623 0.2500 0.3356  3 Sc 2.60, 2 Pu 2.83
S 0.7702 0.2500 0.9927  3 Li 2.34-2.41
S 0.8962 0.7500 0.6328  1 Li 2.31